1.
# SrNd8Dy6, relaxed, DFT PBE
# Symmetry: R-3, No. 148
# Theoretical density: 7169 kg/m3
# Energy: -4.30 eV per atom
# DFT formation energy: 199.2 meV/atom
data_SrNd8Dy6
_symmetry_space_group_name_H-M 'P 1'
_symmetry_Int_Tables_number 1
_symmetry_space_group_name_Hall 'P 1'
_cell_length_a 8.346
_cell_length_b 8.346
_cell_length_c 8.346
_cell_angle_alpha 72.34
_cell_angle_beta 72.34
_cell_angle_gamma 72.34
loop_
_atom_site_label
_atom_site_fract_x
_atom_site_fract_y
_atom_site_fract_z
Sr1 0.000 0.000 0.000
Nd1 0.141 0.615 0.946
Nd2 0.054 0.859 0.385
Nd3 0.385 0.054 0.859
Nd4 0.760 0.760 0.760
Nd5 0.240 0.240 0.240
Nd6 0.615 0.946 0.141
Nd7 0.946 0.141 0.615
Nd8 0.859 0.385 0.054
Dy1 0.175 0.434 0.617
Dy2 0.383 0.825 0.566
Dy3 0.566 0.383 0.825
Dy4 0.434 0.617 0.175
Dy5 0.617 0.175 0.434
Dy6 0.825 0.566 0.383

---

2.
# SrNd2Dy, relaxed, DFT PBE
# Symmetry: P4/mmm, No. 123
# Theoretical density: 5944 kg/m3
# Energy: -3.87 eV per atom
# DFT formation energy: 87.3 meV/atom
data_SrNd2Dy
_symmetry_space_group_name_H-M 'P 1'
_symmetry_Int_Tables_number 1
_symmetry_space_group_name_Hall 'P 1'
_cell_length_a 3.740
_cell_length_b 3.740
_cell_length_c 10.758
_cell_angle_alpha 90.00
_cell_angle_beta 90.00
_cell_angle_gamma 90.00
loop_
_atom_site_label
_atom_site_fract_x
_atom_site_fract_y
_atom_site_fract_z
Sr1 0.500 0.500 0.500
Nd1 0.000 0.000 0.777
Nd2 0.000 0.000 0.223
Dy1 0.500 0.500 0.000

---

3.
# SrNdDy, relaxed, DFT PBE
# Symmetry: P3m1, No. 156
# Theoretical density: 5677 kg/m3
# Energy: -3.56 eV per atom
# DFT formation energy: 127.3 meV/atom
data_SrNdDy
_symmetry_space_group_name_H-M 'P 1'
_symmetry_Int_Tables_number 1
_symmetry_space_group_name_Hall 'P 1'
_cell_length_a 3.769
_cell_length_b 3.769
_cell_length_c 9.380
_cell_angle_alpha 90.00
_cell_angle_beta 90.00
_cell_angle_gamma 120.00
loop_
_atom_site_label
_atom_site_fract_x
_atom_site_fract_y
_atom_site_fract_z
Sr1 0.000 0.000 0.996
Nd1 0.667 0.333 0.355
Dy1 0.333 0.667 0.649

---

4.
# SrNd2Dy, relaxed, DFT PBE
# Symmetry: Fm-3m, No. 225
# Theoretical density: 5963 kg/m3
# Energy: -3.74 eV per atom
# DFT formation energy: 214.3 meV/atom
data_SrNd2Dy
_symmetry_space_group_name_H-M 'P 1'
_symmetry_Int_Tables_number 1
_symmetry_space_group_name_Hall 'P 1'
_cell_length_a 5.964
_cell_length_b 5.964
_cell_length_c 5.964
_cell_angle_alpha 60.00
_cell_angle_beta 60.00
_cell_angle_gamma 60.00
loop_
_atom_site_label
_atom_site_fract_x
_atom_site_fract_y
_atom_site_fract_z
Sr1 0.500 0.500 0.500
Nd1 0.250 0.250 0.250
Nd2 0.750 0.750 0.750
Dy1 0.000 0.000 0.000

---

5.
# SrNd2Dy, relaxed, DFT PBE
# Symmetry: R-3m, No. 166
# Theoretical density: 5852 kg/m3
# Energy: -3.77 eV per atom
# DFT formation energy: 182.2 meV/atom
data_SrNd2Dy
_symmetry_space_group_name_H-M 'P 1'
_symmetry_Int_Tables_number 1
_symmetry_space_group_name_Hall 'P 1'
_cell_length_a 3.671
_cell_length_b 3.671
_cell_length_c 13.268
_cell_angle_alpha 82.05
_cell_angle_beta 82.05
_cell_angle_gamma 60.00
loop_
_atom_site_label
_atom_site_fract_x
_atom_site_fract_y
_atom_site_fract_z
Sr1 0.000 0.000 0.000
Nd1 0.093 0.093 0.720
Nd2 0.907 0.907 0.280
Dy1 0.500 0.500 0.500

---

6.
# SrNd2Dy, relaxed, DFT PBE
# Symmetry: R3m, No. 160
# Theoretical density: 5969 kg/m3
# Energy: -3.86 eV per atom
# DFT formation energy: 93.8 meV/atom
data_SrNd2Dy
_symmetry_space_group_name_H-M 'P 1'
_symmetry_Int_Tables_number 1
_symmetry_space_group_name_Hall 'P 1'
_cell_length_a 3.735
_cell_length_b 3.735
_cell_length_c 12.589
_cell_angle_alpha 81.47
_cell_angle_beta 81.47
_cell_angle_gamma 60.00
loop_
_atom_site_label
_atom_site_fract_x
_atom_site_fract_y
_atom_site_fract_z
Sr1 0.500 0.500 0.499
Nd1 0.077 0.077 0.770
Nd2 0.257 0.257 0.230
Dy1 0.666 0.666 0.001

---

7.
# Sr3NdDy2Te6, relaxed, DFT PBE
# Symmetry: C2/m, No. 12
# ΔE_f (raw): -1.512 eV/atom
# Theoretical density: 6203 kg/m3
# Energy: -4.67 eV per atom
data_Sr3NdDy2Te6
_symmetry_space_group_name_H-M 'P 1'
_symmetry_Int_Tables_number 1
_symmetry_space_group_name_Hall 'P 1'
_cell_length_a 4.508
_cell_length_b 9.200
_cell_length_c 10.254
_cell_angle_alpha 104.50
_cell_angle_beta 102.70
_cell_angle_gamma 90.00
loop_
_atom_site_label
_atom_site_fract_x
_atom_site_fract_y
_atom_site_fract_z
Sr1 0.500 0.500 0.000
Sr2 0.836 0.169 0.671
Sr3 0.164 0.831 0.329
Nd1 0.500 0.000 0.000
Dy1 0.836 0.674 0.672
Dy2 0.164 0.326 0.328
Te1 0.334 0.906 0.667
Te2 0.672 0.569 0.345
Te3 0.666 0.094 0.333
Te4 0.005 0.249 0.009
Te5 0.995 0.751 0.991
Te6 0.328 0.431 0.655

---

8.
# Nd2DyTa, relaxed, DFT PBE
# Symmetry: R-3m, No. 166
# Theoretical density: 9190 kg/m3
# Energy: -5.84 eV per atom
# DFT formation energy: 660.7 meV/atom
data_Nd2DyTa
_symmetry_space_group_name_H-M 'P 1'
_symmetry_Int_Tables_number 1
_symmetry_space_group_name_Hall 'P 1'
_cell_length_a 3.318
_cell_length_b 3.318
_cell_length_c 12.132
_cell_angle_alpha 82.14
_cell_angle_beta 82.14
_cell_angle_gamma 60.00
loop_
_atom_site_label
_atom_site_fract_x
_atom_site_fract_y
_atom_site_fract_z
Dy1 0.500 0.500 0.500
Nd1 0.082 0.082 0.754
Nd2 0.918 0.918 0.246
Ta1 0.000 0.000 0.000

---

What did the eighth record say?
# Nd2DyTa, relaxed, DFT PBE
# Symmetry: R-3m, No. 166
# Theoretical density: 9190 kg/m3
# Energy: -5.84 eV per atom
# DFT formation energy: 660.7 meV/atom
data_Nd2DyTa
_symmetry_space_group_name_H-M 'P 1'
_symmetry_Int_Tables_number 1
_symmetry_space_group_name_Hall 'P 1'
_cell_length_a 3.318
_cell_length_b 3.318
_cell_length_c 12.132
_cell_angle_alpha 82.14
_cell_angle_beta 82.14
_cell_angle_gamma 60.00
loop_
_atom_site_label
_atom_site_fract_x
_atom_site_fract_y
_atom_site_fract_z
Dy1 0.500 0.500 0.500
Nd1 0.082 0.082 0.754
Nd2 0.918 0.918 0.246
Ta1 0.000 0.000 0.000

---

Which formula does entry 1 have? SrNd8Dy6

---

The lowest theoretical density belongs to which entry? SrNdDy

---

Please write out number 6 again, unchanged.
# SrNd2Dy, relaxed, DFT PBE
# Symmetry: R3m, No. 160
# Theoretical density: 5969 kg/m3
# Energy: -3.86 eV per atom
# DFT formation energy: 93.8 meV/atom
data_SrNd2Dy
_symmetry_space_group_name_H-M 'P 1'
_symmetry_Int_Tables_number 1
_symmetry_space_group_name_Hall 'P 1'
_cell_length_a 3.735
_cell_length_b 3.735
_cell_length_c 12.589
_cell_angle_alpha 81.47
_cell_angle_beta 81.47
_cell_angle_gamma 60.00
loop_
_atom_site_label
_atom_site_fract_x
_atom_site_fract_y
_atom_site_fract_z
Sr1 0.500 0.500 0.499
Nd1 0.077 0.077 0.770
Nd2 0.257 0.257 0.230
Dy1 0.666 0.666 0.001